A plane-wave DFT calculation with PBE was carried out for LiTmZnAu after structural relaxation.

Geometry as extended XYZ:
```
4
Lattice="-2.230 2.230 3.839 2.230 -2.230 3.839 2.230 2.230 -3.839" Properties=species:S:1:pos:R:3 pbc="T T T"
Li 0.000 0.000 0.000
Tm 0.000 0.000 3.839
Zn 0.000 2.230 1.919
Au 2.230 0.000 1.919
```

Summary:
The value obtained for the formation energy is -0.473 eV/atom. The volume comes out at 76.4 Å³/cell. Its space-group type is I-4m2 (119). As for the total magnetization: 0.0 μB per cell.



A plane-wave DFT calculation with PBE was carried out for Li2TmZn2Au2 after structural relaxation.

Geometry as extended XYZ:
```
7
Lattice="3.913 -2.249 0.000 3.913 2.249 0.000 -2.610 0.000 7.207" Properties=species:S:1:pos:R:3 pbc="T T T"
Li 0.001 0.000 3.063
Li 5.215 0.000 4.145
Tm 0.000 0.000 0.000
Zn 2.615 0.000 1.912
Zn 2.601 0.000 5.295
Au -0.002 0.000 5.657
Au 5.218 0.000 1.550
```

Summary:
The value obtained for the formation energy is -0.513 eV/atom. The volume comes out at 126.9 Å³/cell. Its space-group type is C2/m (12). As for the total magnetization: 0.0 μB per cell.



A plane-wave DFT calculation with PBE was carried out for LiTmZnAu after structural relaxation.

Geometry as extended XYZ:
```
4
Lattice="0.000 3.374 3.374 3.374 0.000 3.374 3.374 3.374 0.000" Properties=species:S:1:pos:R:3 pbc="T T T"
Li 0.000 0.000 0.000
Tm 3.374 3.374 3.374
Zn 5.062 5.062 5.062
Au 1.687 1.687 1.687
```

Summary:
The value obtained for the formation energy is -0.470 eV/atom. The volume comes out at 76.8 Å³/cell. Its space-group type is F-43m (216). As for the total magnetization: 0.0 μB per cell.